Material: MnCdAg2
Method: DFT, PBE-GGA
State: optimized geometry

Results
V   72.0 Å³ per cell
Calculated density   8.8 Mg/m³
N(E_F)   1.9 states/eV/cell
Total magnetic moment   3.997 μB/f.u.
Formation energy from the elements   158 meV/atom

a = 3.405 Å, b = 3.405 Å, c = 6.210 Å
α = 90.00°, β = 90.00°, γ = 90.00°
Space group P4mm (No. 99)
Unique sites:
Mn: 0.000 0.000 0.000
Cd: 0.500 0.500 0.742
Ag: 0.000 0.000 0.482
Ag: 0.500 0.500 0.224

Material: Mn2CdAg
Method: DFT, PBE-GGA
State: optimized geometry

Results
V   69.2 Å³ per cell
Calculated density   7.9 Mg/m³
N(E_F)   2.6 states/eV/cell
Total magnetic moment   7.767 μB/f.u.
Formation energy from the elements   321 meV/atom

a = 2.985 Å, b = 3.859 Å, c = 6.011 Å
α = 90.00°, β = 90.00°, γ = 90.00°
Space group Pmmm (No. 47)
Unique sites:
Mn: 0.000 0.000 0.243
Cd: 0.500 0.500 0.500
Ag: 0.500 0.500 0.000

Material: MnCdAg2
Method: DFT, PBE-GGA
State: optimized geometry

Results
V   71.8 Å³ per cell
Calculated density   8.9 Mg/m³
N(E_F)   2.3 states/eV/cell
Total magnetic moment   3.793 μB/f.u.
Formation energy from the elements   159 meV/atom

a = 2.995 Å, b = 2.995 Å, c = 8.006 Å
α = 90.00°, β = 90.00°, γ = 90.00°
Space group P4mm (No. 99)
Unique sites:
Mn: 0.000 0.000 0.000
Cd: 0.500 0.500 0.748
Ag: 0.000 0.000 0.484
Ag: 0.500 0.500 0.229

Material: Mn2CdAg
Method: DFT, PBE-GGA
State: optimized geometry

Results
V   68.7 Å³ per cell
Calculated density   8.0 Mg/m³
N(E_F)   3.1 states/eV/cell
Total magnetic moment   7.666 μB/f.u.
Formation energy from the elements   314 meV/atom

a = 4.143 Å, b = 4.143 Å, c = 4.000 Å
α = 90.00°, β = 90.00°, γ = 90.00°
Space group P4/mmm (No. 123)
Unique sites:
Mn: 0.000 0.500 0.000
Cd: 0.000 0.000 0.500
Ag: 0.500 0.500 0.500

Material: Na2MnCdAg
Method: DFT, PBE-GGA
State: optimized geometry

Results
V   152.9 Å³ per cell
Calculated density   3.5 Mg/m³
N(E_F)   3.1 states/eV/cell
Total magnetic moment   4.382 μB/f.u.
Formation energy from the elements   510 meV/atom

a = 5.460 Å, b = 5.460 Å, c = 5.130 Å
α = 90.00°, β = 90.00°, γ = 90.00°
Space group P4/mmm (No. 123)
Unique sites:
Na: 0.000 0.500 0.000
Mn: 0.000 0.000 0.500
Cd: 0.500 0.500 0.500
Ag: 0.000 0.000 0.000

Material: Mn2CdAgPd
Method: DFT, PBE-GGA
State: optimized geometry

Results
V   119.6 Å³ per cell
Calculated density   6.1 Mg/m³
N(E_F)   2.2 states/eV/cell
Total magnetic moment   9.054 μB/f.u.
Formation energy from the elements   666 meV/atom

a = 4.840 Å, b = 4.840 Å, c = 5.105 Å
α = 90.00°, β = 90.00°, γ = 90.00°
Space group P4/mmm (No. 123)
Unique sites:
Mn: 0.000 0.500 0.000
Cd: 0.000 0.000 0.500
Ag: 0.500 0.500 0.500
Pd: 0.000 0.000 0.000

Material: SrMn2CdAg
Method: DFT, PBE-GGA
State: optimized geometry

Results
V   136.5 Å³ per cell
Calculated density   5.1 Mg/m³
N(E_F)   4.9 states/eV/cell
Total magnetic moment   8.749 μB/f.u.
Formation energy from the elements   554 meV/atom

a = 5.103 Å, b = 5.103 Å, c = 5.241 Å
α = 90.00°, β = 90.00°, γ = 90.00°
Space group P4/mmm (No. 123)
Unique sites:
Sr: 0.000 0.000 0.000
Mn: 0.000 0.500 0.500
Cd: 0.500 0.500 0.000
Ag: 0.500 0.500 0.500

Material: CdAg2Mo
Method: DFT, PBE-GGA
State: optimized geometry

Results
V   147.2 Å³ per cell
Calculated density   9.6 Mg/m³
N(E_F)   7.1 states/eV/cell
Total magnetic moment   0.806 μB/f.u.
Formation energy from the elements   489 meV/atom

a = 2.780 Å, b = 5.133 Å, c = 10.314 Å
α = 90.00°, β = 90.00°, γ = 90.00°
Space group Immm (No. 71)
Unique sites:
Cd: 0.000 0.000 0.000
Ag: 0.000 0.500 0.246
Mo: 0.000 0.000 0.500

Material: CdAg2Mo
Method: DFT, PBE-GGA
State: optimized geometry

Results
V   213.5 Å³ per cell
Calculated density   9.9 Mg/m³
N(E_F)   10.3 states/eV/cell
Total magnetic moment   0.001 μB/f.u.
Formation energy from the elements   333 meV/atom

a = 2.8910 Å, b = 2.8910 Å, c = 29.5003 Å
α = 90.00°, β = 90.00°, γ = 120.00°
Space group R3m (No. 160, hexagonal axes)
Unique sites:
Cd: 0.0000 0.0000 0.0000
Ag: 0.0000 0.0000 0.5016
Ag: 0.0000 0.0000 0.7527
Mo: 0.0000 0.0000 0.2486

Material: CdAg4Mo
Method: DFT, PBE-GGA
State: optimized geometry

Results
V   459.5 Å³ per cell
Calculated density   9.2 Mg/m³
N(E_F)   12.5 states/eV/cell
Total magnetic moment   3.077 μB/f.u.
Formation energy from the elements   519 meV/atom

a = 7.717 Å, b = 7.717 Å, c = 7.717 Å
α = 90.00°, β = 90.00°, γ = 90.00°
Space group F-43m (No. 216)
Unique sites:
Cd: 0.000 0.000 0.000
Ag: 0.125 0.125 0.375
Mo: 0.250 0.250 0.750

Material: CdAg2Mo
Method: DFT, PBE-GGA
State: optimized geometry

Results
V   143.6 Å³ per cell
Calculated density   9.8 Mg/m³
N(E_F)   7.0 states/eV/cell
Total magnetic moment   0.743 μB/f.u.
Formation energy from the elements   446 meV/atom

a = 5.918 Å, b = 8.894 Å, c = 2.728 Å
α = 90.00°, β = 90.00°, γ = 90.00°
Space group Cmmm (No. 65)
Unique sites:
Cd: 0.000 0.000 0.000
Ag: 0.250 0.250 0.500
Mo: 0.000 0.500 0.000

Material: CdAg2Mo
Method: DFT, PBE-GGA
State: optimized geometry

Results
V   71.8 Å³ per cell
Calculated density   9.8 Mg/m³
N(E_F)   3.1 states/eV/cell
Total magnetic moment   0.749 μB/f.u.
Formation energy from the elements   435 meV/atom

a = 2.770 Å, b = 4.283 Å, c = 6.048 Å
α = 90.00°, β = 90.09°, γ = 90.00°
Space group Pm (No. 6)
Unique sites:
Cd: 0.000 0.000 0.000
Ag: 0.001 0.000 0.489
Ag: 0.500 0.500 0.742
Mo: 0.500 0.500 0.254

Material: CdAg2Mo
Method: DFT, PBE-GGA
State: optimized geometry

Results
V   144.2 Å³ per cell
Calculated density   9.8 Mg/m³
N(E_F)   5.0 states/eV/cell
Total magnetic moment   0.000 μB/f.u.
Formation energy from the elements   438 meV/atom

a = 5.831 Å, b = 9.973 Å, c = 2.677 Å
α = 90.00°, β = 112.17°, γ = 90.00°
Space group C2/m (No. 12)
Unique sites:
Cd: 0.000 0.000 0.000
Ag: 0.250 0.250 0.500
Mo: 0.000 0.500 0.000

Material: Cd3AgMo
Method: DFT, PBE-GGA
State: optimized geometry

Results
V   155.7 Å³ per cell
Calculated density   5.8 Mg/m³
N(E_F)   4.0 states/eV/cell
Total magnetic moment   2.788 μB/f.u.
Formation energy from the elements   1119 meV/atom

a = 5.379 Å, b = 5.379 Å, c = 5.379 Å
α = 90.00°, β = 90.00°, γ = 90.00°
Space group Pm-3m (No. 221)
Unique sites:
Cd: 0.000 0.000 0.500
Ag: 0.500 0.500 0.500
Mo: 0.000 0.000 0.000

Material: CdAg2Mo
Method: DFT, PBE-GGA
State: optimized geometry

Results
V   72.8 Å³ per cell
Calculated density   9.7 Mg/m³
N(E_F)   4.7 states/eV/cell
Total magnetic moment   1.237 μB/f.u.
Formation energy from the elements   593 meV/atom

a = 4.172 Å, b = 4.172 Å, c = 4.183 Å
α = 90.00°, β = 90.00°, γ = 90.00°
Space group P4/mmm (No. 123)
Unique sites:
Cd: 0.000 0.000 0.000
Ag: 0.000 0.500 0.500
Mo: 0.500 0.500 0.000

Material: CdAg2Mo
Method: DFT, PBE-GGA
State: optimized geometry

Results
V   71.4 Å³ per cell
Calculated density   9.9 Mg/m³
N(E_F)   2.5 states/eV/cell
Total magnetic moment   0.522 μB/f.u.
Formation energy from the elements   422 meV/atom

a = 2.775 Å, b = 4.321 Å, c = 5.957 Å
α = 90.00°, β = 90.00°, γ = 90.00°
Space group Pmmm (No. 47)
Unique sites:
Cd: 0.000 0.000 0.000
Ag: 0.500 0.500 0.262
Mo: 0.000 0.000 0.500

Material: CdAg2Mo
Method: DFT, PBE-GGA
State: optimized geometry

Results
V   141.7 Å³ per cell
Calculated density   9.9 Mg/m³
N(E_F)   3.4 states/eV/cell
Total magnetic moment   0.000 μB/f.u.
Formation energy from the elements   288 meV/atom

a = 3.985 Å, b = 3.995 Å, c = 8.902 Å
α = 90.00°, β = 90.00°, γ = 90.00°
Space group Cmm2 (No. 35)
Unique sites:
Cd: 0.000 0.000 0.000
Ag: 0.000 0.000 0.492
Ag: 0.000 0.500 0.740
Mo: 0.000 0.500 0.251

Material: Cd3AgMo
Method: DFT, PBE-GGA
State: optimized geometry

Results
V   138.2 Å³ per cell
Calculated density   6.5 Mg/m³
N(E_F)   2.3 states/eV/cell
Total magnetic moment   4.431 μB/f.u.
Formation energy from the elements   1083 meV/atom

a = 5.170 Å, b = 5.170 Å, c = 5.170 Å
α = 90.00°, β = 90.00°, γ = 90.00°
Space group Pm-3m (No. 221)
Unique sites:
Cd: 0.000 0.000 0.500
Ag: 0.000 0.000 0.000
Mo: 0.500 0.500 0.500

Material: CdAg2Mo
Method: DFT, PBE-GGA
State: optimized geometry

Results
V   145.9 Å³ per cell
Calculated density   9.7 Mg/m³
N(E_F)   5.0 states/eV/cell
Total magnetic moment   2.018 μB/f.u.
Formation energy from the elements   578 meV/atom

a = 4.293 Å, b = 4.293 Å, c = 7.913 Å
α = 90.00°, β = 90.00°, γ = 90.00°
Space group I-4m2 (No. 119)
Unique sites:
Cd: 0.000 0.000 0.000
Ag: 0.000 0.000 0.500
Ag: 0.000 0.500 0.250
Mo: 0.000 0.500 0.750

Material: CdAg2Mo
Method: DFT, PBE-GGA
State: optimized geometry

Results
V   70.6 Å³ per cell
Calculated density   10.0 Mg/m³
N(E_F)   2.1 states/eV/cell
Total magnetic moment   0.000 μB/f.u.
Formation energy from the elements   308 meV/atom

a = 2.813 Å, b = 2.813 Å, c = 8.918 Å
α = 90.00°, β = 90.00°, γ = 90.00°
Space group P4/mmm (No. 123)
Unique sites:
Cd: 0.000 0.000 0.000
Ag: 0.500 0.500 0.258
Mo: 0.000 0.000 0.500